Material: YMg2Co
Method: DFT, PBE
State: relaxed

extended XYZ file:
```
4
Lattice="0.000 3.397 3.397 3.397 0.000 3.397 3.397 3.397 0.000" Properties=species:S:1:pos:R:3 pbc="T T T"
Mg 5.095 5.095 5.095
Mg 0.000 0.000 0.000
Y 3.397 3.397 3.397
Co 1.698 1.698 1.698
```

## Properties
Space-group type: No. 216
Total DFT energy (no corrections) (eV per cell): -16.280
Crystal system: cubic
Magnetization (μB/f.u.): 0.5

Material: La2PrPbC
Method: DFT, PBE
State: relaxed

extended XYZ file:
```
5
Lattice="-2.290 4.117 -2.239 -3.521 0.133 3.846 3.093 3.200 2.721" Properties=species:S:1:pos:R:3 pbc="T T T"
La 0.402 3.659 0.241
La -0.214 1.667 3.284
Pr 0.000 0.000 0.000
Pb -2.906 2.125 0.804
C 1.547 1.600 1.361
```

## Properties
Space-group type: No. 123
Total DFT energy (no corrections) (eV per cell): -29.617
Crystal system: tetragonal
Magnetization (μB/f.u.): 0.0

Material: KErO3
Method: DFT, PBE
State: relaxed

extended XYZ file:
```
5
Lattice="-0.004 -2.481 -3.607 1.618 -3.353 2.304 -4.077 -1.334 0.922" Properties=species:S:1:pos:R:3 pbc="T T T"
O -1.594 -2.463 1.696
O 0.491 -3.020 -0.580
O -2.405 -2.027 -1.260
Er -1.547 -3.687 -0.119
K -0.268 -0.088 0.061
```

## Properties
Space-group type: No. 99
Total DFT energy (no corrections) (eV per cell): -30.071
Crystal system: tetragonal
Magnetization (μB/f.u.): 2.0

Material: PmGdSN2
Method: DFT, PBE
State: relaxed

extended XYZ file:
```
5
Lattice="-3.710 0.834 1.053 1.290 -3.727 0.105 2.005 0.873 6.374" Properties=species:S:1:pos:R:3 pbc="T T T"
Pm -1.491 -0.446 2.492
N 0.380 -1.877 2.825
N -0.773 -0.133 4.774
Gd 1.067 -1.578 5.010
S 1.993 0.868 6.337
```

## Properties
Space-group type: No. 156
Total DFT energy (no corrections) (eV per cell): -35.620
Crystal system: trigonal
Magnetization (μB/f.u.): 2.0

Material: NaCuNiTe2Se
Method: DFT, PBE
State: relaxed

extended XYZ file:
```
12
Lattice="-5.258 4.093 -1.283 2.111 -6.275 1.489 -0.813 2.124 10.107" Properties=species:S:1:pos:R:3 pbc="T T T"
Na -3.609 2.019 1.940
Na -0.350 -2.076 8.373
Ni -1.980 -0.029 5.156
Ni -1.573 -1.091 0.103
Cu -5.474 5.134 6.445
Cu 1.515 -5.191 3.868
Se -2.610 1.103 7.523
Se -1.350 -1.160 2.790
Te -5.068 4.784 8.952
Te 1.109 -4.841 1.361
Te -4.701 3.824 4.382
Te 0.741 -3.881 5.930
```

## Properties
Space-group type: No. 63
Total DFT energy (no corrections) (eV per cell): -44.150
Crystal system: orthorhombic
Magnetization (μB/f.u.): 0.0

Material: YScGaFe
Method: DFT, PBE
State: relaxed

extended XYZ file:
```
4
Lattice="0.000 3.312 3.312 3.312 0.000 3.312 3.312 3.312 0.000" Properties=species:S:1:pos:R:3 pbc="T T T"
Sc 1.656 1.656 1.656
Y 3.312 3.312 3.312
Ga 0.000 0.000 0.000
Fe 4.968 4.968 4.968
```

## Properties
Space-group type: No. 216
Total DFT energy (no corrections) (eV per cell): -24.335
Crystal system: cubic
Magnetization (μB/f.u.): 1.0

Material: GdErAg4
Method: DFT, PBE
State: relaxed

extended XYZ file:
```
6
Lattice="3.718 0.000 0.000 0.000 3.718 0.000 0.000 0.000 9.234" Properties=species:S:1:pos:R:3 pbc="T T T"
Ag 1.859 1.859 6.149
Ag 1.859 1.859 3.085
Ag 0.000 0.000 7.627
Ag 0.000 0.000 1.608
Er 0.000 0.000 4.617
Gd 1.859 1.859 0.000
```

## Properties
Formation energy (eV per atom): -0.326
Space-group type: No. 123
Crystal system: tetragonal
Magnetization (μB/f.u.): 0.0

Material: ErCo2GeP
Method: DFT, PBE
State: relaxed

extended XYZ file:
```
5
Lattice="-0.188 3.426 4.392 -4.690 0.591 2.953 3.216 -4.077 -2.026" Properties=species:S:1:pos:R:3 pbc="T T T"
Ge -3.039 2.502 4.575
Er -4.858 4.000 7.314
Co 0.259 0.708 3.073
Co -1.992 -0.710 2.353
P -1.790 1.474 2.695
```

## Properties
Space-group type: No. 107
Total DFT energy (no corrections) (eV per cell): -32.935
Crystal system: tetragonal
Magnetization (μB/f.u.): 1.0